# Tm4AsPPb2 (PBE, optimized geometry)
# D(E_F)   0.302 states/eV per atom
# Energy relative to the elements   -985 meV/atom
data_Tm4AsPPb2
_chemical_formula_sum 'Tm4 As1 P1 Pb2'
_symmetry_space_group_name_H-M 'P 1 2/m 1'
_symmetry_Int_Tables_number 10
_cell_length_a 6.774
_cell_length_b 3.934
_cell_length_c 8.125
_cell_angle_alpha 90.00
_cell_angle_beta 106.20
_cell_angle_gamma 90.00
loop_
_symmetry_equiv_pos_as_xyz
'x,y,z'
'-x,-y,-z'
'-x,y,-z'
'x,-y,z'
loop_
_atom_site_label
_atom_site_type_symbol
_atom_site_fract_x
_atom_site_fract_y
_atom_site_fract_z
Tm1 Tm 0.227 0.000 0.200
Tm2 Tm 0.260 0.500 0.796
As1 As 0.500 0.000 0.000
P1 P 0.000 0.500 0.000
Pb1 Pb 0.000 0.000 0.500
Pb2 Pb 0.500 0.500 0.500